Material: Tc2AsCl
Method: DFT, meta-GGA SCAN
State: PBEsol geometry

## Properties
Symmetry   Immm
Calculated total energy   -23.97 eV/atom
D(E_F)   3.64 states/eV/cell
Spin magnetization   0.00 μB/f.u.

Lattice parameters (Å, degrees): 5.021 5.021 5.021 146.95 115.43 74.48
Atoms (fractional coordinates):
Tc (0.249, 0.249, 0.000)
Tc (0.751, 0.751, 0.000)
As (0.000, 0.500, 0.500)
Cl (0.500, 0.000, 0.500)